Record 1
Compound: MgInCuTe3
Source: OQMD
Functional: PBE
Structure: relaxed

- Mass density: 6.045 g/cm3
- Electronic total energy: -3.18 eV per atom

Cell: 6.884 6.884 12.090 Å, 90.00 90.00 145.85°
Sites, in units of the cell vectors:
Mg: 0.223 0.777 0.750
Mg: 0.777 0.223 0.250
In: 0.000 0.000 0.000
In: 0.000 0.000 0.500
Cu: 0.465 0.535 0.250
Cu: 0.535 0.465 0.750
Te: 0.096 0.904 0.250
Te: 0.347 0.653 0.077
Te: 0.347 0.653 0.423
Te: 0.653 0.347 0.577
Te: 0.653 0.347 0.923
Te: 0.904 0.096 0.750

Record 2
Compound: Pm4Al4O11
Source: OQMD
Functional: PBE
Structure: relaxed

- Mass density: 6.872 g/cm3
- M_tot: 0.0 μB per formula unit
- Electronic total energy: -7.77 eV per atom

Cell: 5.288 7.433 5.311 Å, 90.00 90.15 90.00°
Sites, in units of the cell vectors:
Pm: 0.000 0.000 0.000
Pm: 0.034 0.500 0.004
Pm: 0.498 0.000 0.505
Pm: 0.536 0.500 0.496
Al: 0.017 0.247 0.501
Al: 0.017 0.753 0.501
Al: 0.517 0.248 0.000
Al: 0.517 0.752 0.000
O: 0.014 0.500 0.564
O: 0.249 0.215 0.767
O: 0.249 0.785 0.767
O: 0.284 0.280 0.267
O: 0.284 0.720 0.267
O: 0.507 0.500 0.937
O: 0.526 0.000 0.063
O: 0.749 0.218 0.732
O: 0.749 0.782 0.732
O: 0.785 0.283 0.233
O: 0.785 0.717 0.233

Record 3
Compound: Hf4TeC2Se
Source: OQMD
Functional: PBE
Structure: relaxed

- Mass density: 11.696 g/cm3
- M_tot: 0.0 μB per formula unit
- Electronic total energy: -9.12 eV per atom

Cell: 3.474 3.474 12.829 Å, 90.00 90.00 120.00°
Sites, in units of the cell vectors:
Hf: 0.000 0.000 0.150
Hf: 0.000 0.000 0.850
Hf: 0.333 0.667 0.332
Hf: 0.333 0.667 0.668
Te: 0.000 0.000 0.500
C: 0.667 0.333 0.240
C: 0.667 0.333 0.760
Se: 0.333 0.667 0.000

Record 4
Compound: YInAg2
Source: OQMD
Functional: PBE
Structure: relaxed

- Mass density: 7.722 g/cm3
- M_tot: 0.0 μB per formula unit
- Electronic total energy: -3.96 eV per atom

Cell: 8.273 7.393 5.900 Å, 90.00 90.00 90.00°
Sites, in units of the cell vectors:
Y: 0.044 0.250 0.154
Y: 0.456 0.750 0.654
Y: 0.544 0.250 0.346
Y: 0.956 0.750 0.846
In: 0.094 0.750 0.344
In: 0.406 0.250 0.844
In: 0.594 0.750 0.156
In: 0.906 0.250 0.656
Ag: 0.196 0.047 0.591
Ag: 0.196 0.453 0.591
Ag: 0.304 0.547 0.091
Ag: 0.304 0.953 0.091
Ag: 0.696 0.047 0.909
Ag: 0.696 0.453 0.909
Ag: 0.804 0.547 0.409
Ag: 0.804 0.953 0.409

Record 5
Compound: RbAlCd
Source: OQMD
Functional: PBE
Structure: relaxed

- Mass density: 3.285 g/cm3
- Energy relative to the lowest polymorph listed for this composition: 0.0000 eV per atom

Cell: 5.437 5.437 5.437 Å, 60.00 60.00 60.00°
Sites, in units of the cell vectors:
Rb: 0.000 0.000 0.000
Al: 0.500 0.500 0.500
Cd: 0.750 0.750 0.750

Record 6
Compound: RbZrGaS3
Source: OQMD
Functional: PBE
Structure: relaxed

- Mass density: 3.756 g/cm3
- M_tot: 1.5 μB per formula unit
- Electronic total energy: -5.13 eV per atom

Cell: 7.599 7.599 10.307 Å, 90.00 90.00 149.40°
Sites, in units of the cell vectors:
Rb: 0.247 0.753 0.750
Rb: 0.753 0.247 0.250
Zr: 0.500 0.500 0.000
Zr: 0.500 0.500 0.500
Ga: 0.032 0.968 0.250
Ga: 0.968 0.032 0.750
S: 0.118 0.882 0.060
S: 0.118 0.882 0.440
S: 0.445 0.555 0.250
S: 0.555 0.445 0.750
S: 0.882 0.118 0.560
S: 0.882 0.118 0.940

Record 7
Compound: Ac
Source: OQMD
Functional: PBE
Structure: relaxed

- Mass density: 8.401 g/cm3
- M_tot: 0.0 μB per formula unit
- Energy relative to the lowest polymorph listed for this composition: 0.0229 eV per atom
- DFT formation energy: 0.02 eV/f.u.

Cell: 4.017 4.017 6.468 Å, 90.00 90.00 120.71°
Sites, in units of the cell vectors:
Ac: 0.162 0.838 0.750
Ac: 0.838 0.162 0.250

Record 8
Compound: Dy2Y2CI4Br
Source: OQMD
Functional: PBE
Structure: relaxed

- Mass density: 5.953 g/cm3
- M_tot: 0.0 μB per formula unit
- Electronic total energy: -5.08 eV per atom

Cell: 9.780 9.780 8.354 Å, 101.92 101.92 23.18°
Sites, in units of the cell vectors:
Dy: 0.128 0.128 0.064
Dy: 0.872 0.872 0.936
Y: 0.499 0.499 0.197
Y: 0.501 0.501 0.803
C: 0.000 0.000 0.000
I: 0.333 0.333 0.184
I: 0.338 0.338 0.653
I: 0.662 0.662 0.347
I: 0.667 0.667 0.816
Br: 0.000 0.000 0.500

> Which formula does entry 4 have?

YInAg2